## Cr2Tc (GGA-PBEsol)

Data for Cr2Tc after structural relaxation.

POSCAR file:
```
Cr2Tc
1.0
-1.440 1.440 4.389
1.440 -1.440 4.389
1.440 1.440 -4.389
Cr Tc
2 1
direct
0.175 0.175 0.000 Cr
0.825 0.825 0.000 Cr
0.500 0.500 0.000 Tc
```

Output
uncorrected energy	-10.541	eV per atom
formation energy	0.0421	eV/atom